# 1
DFT (PBE) results for Cu3Ag2 after structural relaxation.

a b c (Å): 6.694 2.775 7.924
angles (deg): 90.00 103.21 90.00
Atoms (fractional coordinates):
Cu (0.095, 0.000, 0.315)
Cu (0.185, 0.500, 0.596)
Cu (0.276, 0.000, 0.872)
Cu (0.724, 0.000, 0.128)
Cu (0.815, 0.500, 0.404)
Cu (0.905, 0.000, 0.685)
Ag (0.000, 0.500, 0.000)
Ag (0.404, 0.500, 0.180)
Ag (0.500, 0.000, 0.500)
Ag (0.596, 0.500, 0.820)

Values from the calculation:
Total energy ... -32.7 eV/cell
Formation energy ... 0.09 eV per atom


# 2
DFT (PBE) results for CuAg2 after structural relaxation.

a b c (Å): 7.369 7.369 6.943
angles (deg): 94.29 94.29 22.54
Atoms (fractional coordinates):
Cu (0.000, 0.000, 0.000)
Cu (0.218, 0.218, 0.293)
Cu (0.563, 0.563, 0.286)
Ag (0.110, 0.110, 0.608)
Ag (0.333, 0.333, 0.983)
Ag (0.450, 0.450, 0.674)
Ag (0.658, 0.658, 0.967)
Ag (0.778, 0.778, 0.621)
Ag (0.899, 0.899, 0.318)

Values from the calculation:
Total energy ... -27.4 eV/cell
Formation energy ... 0.08 eV per atom


# 3
DFT (PBE) results for Cu7Ag2 after structural relaxation.

a b c (Å): 12.358 12.358 12.358
angles (deg): 167.53 163.01 21.13
Atoms (fractional coordinates):
Cu (0.000, 0.000, 0.000)
Cu (0.224, 0.224, 0.000)
Cu (0.327, 0.327, 0.000)
Cu (0.449, 0.449, 0.000)
Cu (0.551, 0.551, 0.000)
Cu (0.673, 0.673, 0.000)
Cu (0.776, 0.776, 0.000)
Ag (0.112, 0.112, 0.000)
Ag (0.888, 0.888, 0.000)

Values from the calculation:
Total energy ... -31.1 eV/cell
Formation energy ... 0.07 eV per atom


# 4
DFT (PBE) results for Cu3Ag2 after structural relaxation.

a b c (Å): 6.697 2.790 7.849
angles (deg): 90.00 102.28 90.00
Atoms (fractional coordinates):
Cu (0.000, 0.000, 0.000)
Cu (0.092, 0.500, 0.282)
Cu (0.279, 0.500, 0.899)
Cu (0.500, 0.500, 0.500)
Cu (0.721, 0.500, 0.101)
Cu (0.908, 0.500, 0.718)
Ag (0.200, 0.000, 0.594)
Ag (0.401, 0.000, 0.194)
Ag (0.599, 0.000, 0.806)
Ag (0.800, 0.000, 0.406)

Values from the calculation:
Total energy ... -32.6 eV/cell
Formation energy ... 0.09 eV per atom


# 5
DFT (PBE) results for CuAg after structural relaxation.

a b c (Å): 4.828 4.828 8.737
angles (deg): 90.57 90.57 47.15
Atoms (fractional coordinates):
Cu (0.000, 0.000, 0.000)
Cu (0.092, 0.092, 0.694)
Cu (0.506, 0.506, 0.508)
Cu (0.807, 0.807, 0.598)
Cu (0.908, 0.908, 0.321)
Ag (0.209, 0.209, 0.418)
Ag (0.306, 0.306, 0.105)
Ag (0.397, 0.397, 0.789)
Ag (0.598, 0.598, 0.211)
Ag (0.693, 0.693, 0.894)

Values from the calculation:
Total energy ... -31.7 eV/cell
Formation energy ... 0.10 eV per atom


# 6
DFT (PBE) results for Cu3Ag7 after structural relaxation.

a b c (Å): 4.954 5.752 6.283
angles (deg): 76.93 75.59 72.32
Atoms (fractional coordinates):
Cu (0.000, 0.000, 0.000)
Cu (0.403, 0.094, 0.185)
Cu (0.597, 0.906, 0.815)
Ag (0.000, 0.500, 0.000)
Ag (0.197, 0.806, 0.612)
Ag (0.211, 0.290, 0.596)
Ag (0.390, 0.618, 0.192)
Ag (0.610, 0.382, 0.808)
Ag (0.789, 0.710, 0.404)
Ag (0.803, 0.194, 0.388)

Values from the calculation:
Total energy ... -30.2 eV/cell
Formation energy ... 0.08 eV per atom


# 7
DFT (PBE) results for CuAg after structural relaxation.

a b c (Å): 6.076 6.076 9.322
angles (deg): 127.56 127.56 26.48
Atoms (fractional coordinates):
Cu (0.056, 0.056, 0.166)
Cu (0.322, 0.322, 0.943)
Cu (0.678, 0.678, 0.057)
Cu (0.944, 0.944, 0.834)
Ag (0.197, 0.197, 0.578)
Ag (0.435, 0.435, 0.293)
Ag (0.565, 0.565, 0.707)
Ag (0.803, 0.803, 0.422)

Values from the calculation:
Total energy ... -25.5 eV/cell
Formation energy ... 0.09 eV per atom


# 8
DFT (PBE) results for Cu5Ag3 after structural relaxation.

a b c (Å): 4.628 5.520 4.729
angles (deg): 90.00 109.47 90.00
Atoms (fractional coordinates):
Cu (0.000, 0.000, 0.000)
Cu (0.000, 0.235, 0.500)
Cu (0.000, 0.500, 0.000)
Cu (0.000, 0.765, 0.500)
Cu (0.500, 0.000, 0.500)
Ag (0.500, 0.245, 0.000)
Ag (0.500, 0.500, 0.500)
Ag (0.500, 0.755, 0.000)

Values from the calculation:
Total energy ... -26.1 eV/cell
Formation energy ... 0.11 eV per atom


# 9
DFT (PBE) results for Cu3Ag2 after structural relaxation.

a b c (Å): 7.198 7.198 7.636
angles (deg): 105.29 105.29 22.13
Atoms (fractional coordinates):
Cu (0.000, 0.000, 0.226)
Cu (0.000, 0.000, 0.774)
Cu (0.198, 0.198, 0.340)
Cu (0.404, 0.404, 0.943)
Cu (0.596, 0.596, 0.057)
Cu (0.802, 0.802, 0.660)
Ag (0.196, 0.196, 0.848)
Ag (0.401, 0.401, 0.469)
Ag (0.599, 0.599, 0.531)
Ag (0.804, 0.804, 0.152)

Values from the calculation:
Total energy ... -32.6 eV/cell
Formation energy ... 0.10 eV per atom


# 10
DFT (PBE) results for Cu3Ag2 after structural relaxation.

a b c (Å): 4.686 2.785 11.079
angles (deg): 90.00 94.72 90.00
Atoms (fractional coordinates):
Cu (0.000, 0.000, 0.000)
Cu (0.092, 0.500, 0.811)
Cu (0.204, 0.000, 0.620)
Cu (0.356, 0.000, 0.191)
Cu (0.475, 0.500, 0.013)
Cu (0.879, 0.500, 0.178)
Ag (0.267, 0.500, 0.406)
Ag (0.589, 0.000, 0.818)
Ag (0.711, 0.500, 0.602)
Ag (0.765, 0.000, 0.375)

Values from the calculation:
Total energy ... -32.6 eV/cell
Formation energy ... 0.10 eV per atom


# 11
DFT (PBE) results for Cu3Ag2 after structural relaxation.

a b c (Å): 4.729 4.729 8.630
angles (deg): 90.13 90.13 47.70
Atoms (fractional coordinates):
Cu (0.000, 0.000, 0.000)
Cu (0.096, 0.096, 0.713)
Cu (0.501, 0.501, 0.516)
Cu (0.592, 0.592, 0.198)
Cu (0.689, 0.689, 0.902)
Cu (0.793, 0.793, 0.616)
Ag (0.197, 0.197, 0.422)
Ag (0.290, 0.290, 0.100)
Ag (0.396, 0.396, 0.801)
Ag (0.901, 0.901, 0.309)

Values from the calculation:
Total energy ... -32.6 eV/cell
Formation energy ... 0.10 eV per atom


# 12
DFT (PBE) results for CuAg after structural relaxation.

a b c (Å): 2.830 3.665 14.403
angles (deg): 90.00 90.00 90.00
Atoms (fractional coordinates):
Cu (0.000, 0.000, 0.000)
Cu (0.000, 0.000, 0.198)
Cu (0.000, 0.000, 0.800)
Cu (0.500, 0.500, 0.283)
Cu (0.500, 0.500, 0.482)
Ag (0.000, 0.000, 0.383)
Ag (0.000, 0.000, 0.583)
Ag (0.500, 0.500, 0.098)
Ag (0.500, 0.500, 0.700)
Ag (0.500, 0.500, 0.899)

Values from the calculation:
Total energy ... -31.7 eV/cell
Formation energy ... 0.10 eV per atom


# 13
DFT (PBE) results for CuAg after structural relaxation.

a b c (Å): 27.230 27.230 4.732
angles (deg): 94.96 94.96 5.88
Atoms (fractional coordinates):
Cu (0.000, 0.000, 0.000)
Cu (0.539, 0.539, 0.196)
Cu (0.583, 0.583, 0.888)
Cu (0.624, 0.624, 0.270)
Cu (0.666, 0.666, 0.659)
Cu (0.707, 0.707, 0.357)
Cu (0.749, 0.749, 0.054)
Cu (0.791, 0.791, 0.440)
Cu (0.832, 0.832, 0.826)
Cu (0.874, 0.874, 0.523)
Cu (0.916, 0.916, 0.219)
Cu (0.957, 0.957, 0.602)
Ag (0.042, 0.042, 0.711)
Ag (0.082, 0.082, 0.370)
Ag (0.124, 0.124, 0.769)
Ag (0.165, 0.165, 0.174)
Ag (0.207, 0.207, 0.858)
Ag (0.249, 0.249, 0.540)
Ag (0.291, 0.291, 0.940)
Ag (0.332, 0.332, 0.341)
Ag (0.374, 0.374, 0.023)
Ag (0.415, 0.415, 0.705)
Ag (0.457, 0.457, 0.100)
Ag (0.498, 0.498, 0.502)

Values from the calculation:
Total energy ... -76.0 eV/cell
Formation energy ... 0.10 eV per atom


# 14
DFT (PBE) results for CuAg after structural relaxation.

a b c (Å): 6.008 6.008 9.203
angles (deg): 100.18 100.18 26.83
Atoms (fractional coordinates):
Cu (0.000, 0.000, 0.000)
Cu (0.201, 0.201, 0.590)
Cu (0.305, 0.305, 0.915)
Cu (0.695, 0.695, 0.085)
Cu (0.799, 0.799, 0.410)
Ag (0.110, 0.110, 0.289)
Ag (0.390, 0.390, 0.199)
Ag (0.500, 0.500, 0.500)
Ag (0.610, 0.610, 0.801)
Ag (0.890, 0.890, 0.711)

Values from the calculation:
Total energy ... -31.8 eV/cell
Formation energy ... 0.09 eV per atom


# 15
DFT (PBE) results for Cu4Ag5 after structural relaxation.

a b c (Å): 4.937 4.937 11.003
angles (deg): 111.68 111.68 33.62
Atoms (fractional coordinates):
Cu (0.179, 0.179, 0.402)
Cu (0.186, 0.186, 0.710)
Cu (0.814, 0.814, 0.290)
Cu (0.821, 0.821, 0.598)
Ag (0.164, 0.164, 0.063)
Ag (0.494, 0.494, 0.194)
Ag (0.500, 0.500, 0.500)
Ag (0.506, 0.506, 0.806)
Ag (0.836, 0.836, 0.937)

Values from the calculation:
Total energy ... -28.3 eV/cell
Formation energy ... 0.07 eV per atom


# 16
DFT (PBE) results for CuAg after structural relaxation.

a b c (Å): 7.173 7.173 5.523
angles (deg): 98.18 98.18 32.04
Atoms (fractional coordinates):
Cu (0.000, 0.000, 0.000)
Cu (0.205, 0.205, 0.595)
Cu (0.395, 0.395, 0.686)
Cu (0.605, 0.605, 0.314)
Cu (0.795, 0.795, 0.405)
Ag (0.000, 0.000, 0.500)
Ag (0.197, 0.197, 0.113)
Ag (0.404, 0.404, 0.196)
Ag (0.596, 0.596, 0.804)
Ag (0.803, 0.803, 0.887)

Values from the calculation:
Total energy ... -31.7 eV/cell
Formation energy ... 0.10 eV per atom


# 17
DFT (PBE) results for Cu3Ag2 after structural relaxation.

a b c (Å): 2.812 2.812 18.068
angles (deg): 90.00 90.00 90.00
Atoms (fractional coordinates):
Cu (0.000, 0.000, 0.000)
Cu (0.000, 0.000, 0.171)
Cu (0.000, 0.000, 0.379)
Cu (0.000, 0.000, 0.789)
Cu (0.500, 0.500, 0.085)
Cu (0.500, 0.500, 0.705)
Ag (0.000, 0.000, 0.602)
Ag (0.500, 0.500, 0.275)
Ag (0.500, 0.500, 0.482)
Ag (0.500, 0.500, 0.894)

Values from the calculation:
Total energy ... -32.9 eV/cell
Formation energy ... 0.07 eV per atom


# 18
DFT (PBE) results for Cu3Ag2 after structural relaxation.

a b c (Å): 21.681 21.681 21.681
angles (deg): 7.34 7.34 7.34
Atoms (fractional coordinates):
Cu (0.045, 0.045, 0.045)
Cu (0.152, 0.152, 0.152)
Cu (0.348, 0.348, 0.348)
Cu (0.652, 0.652, 0.652)
Cu (0.848, 0.848, 0.848)
Cu (0.955, 0.955, 0.955)
Ag (0.254, 0.254, 0.254)
Ag (0.451, 0.451, 0.451)
Ag (0.549, 0.549, 0.549)
Ag (0.746, 0.746, 0.746)

Values from the calculation:
Total energy ... -32.6 eV/cell
Formation energy ... 0.10 eV per atom


# 19
DFT (PBE) results for CuAg after structural relaxation.

a b c (Å): 2.854 3.433 12.207
angles (deg): 89.94 89.90 89.96
Atoms (fractional coordinates):
Cu (0.000, 0.000, 0.000)
Cu (0.005, 0.001, 0.207)
Cu (0.502, 0.500, 0.102)
Cu (0.509, 0.502, 0.309)
Ag (0.004, 0.000, 0.728)
Ag (0.009, 0.001, 0.434)
Ag (0.501, 0.499, 0.875)
Ag (0.508, 0.501, 0.581)

Values from the calculation:
Total energy ... -25.7 eV/cell
Formation energy ... 0.06 eV per atom


# 20
DFT (PBE) results for Cu3Ag7 after structural relaxation.

a b c (Å): 10.248 10.248 4.071
angles (deg): 90.00 90.00 157.56
Atoms (fractional coordinates):
Cu (0.000, 0.000, 0.000)
Cu (0.095, 0.905, 0.500)
Cu (0.905, 0.095, 0.500)
Ag (0.196, 0.804, 0.000)
Ag (0.304, 0.696, 0.500)
Ag (0.406, 0.594, 0.000)
Ag (0.500, 0.500, 0.500)
Ag (0.594, 0.406, 0.000)
Ag (0.696, 0.304, 0.500)
Ag (0.804, 0.196, 0.000)

Values from the calculation:
Total energy ... -30.2 eV/cell
Formation energy ... 0.07 eV per atom